(1)
Computed, not measured: LiGeRh3 after structural relaxation at the PBEsol level of DFT.

```
data_LiGeRh3
_chemical_formula_sum 'Li1 Ge1 Rh3'
_space_group_name_H-M_alt 'P m -3 m'
_space_group_IT_number 221
_space_group_name_Hall '-P 4 2 3'
_cell_length_a 4.5106
_cell_length_b 4.5106
_cell_length_c 4.5106
_cell_angle_alpha 90.00
_cell_angle_beta 90.00
_cell_angle_gamma 90.00
loop_
_atom_site_label
_atom_site_type_symbol
_atom_site_fract_x
_atom_site_fract_y
_atom_site_fract_z
Li1 Li 0.0000 0.0000 0.0000
Ge1 Ge 0.5000 0.5000 0.5000
Rh1 Rh 0.0000 0.5000 0.5000
```



(2)
Computed, not measured: LiGe3Rh after structural relaxation at the PBEsol level of DFT.

```
data_LiGe3Rh
_chemical_formula_sum 'Li1 Ge3 Rh1'
_space_group_name_H-M_alt 'P m -3 m'
_space_group_IT_number 221
_space_group_name_Hall '-P 4 2 3'
_cell_length_a 4.3441
_cell_length_b 4.3441
_cell_length_c 4.3441
_cell_angle_alpha 90.00
_cell_angle_beta 90.00
_cell_angle_gamma 90.00
loop_
_atom_site_label
_atom_site_type_symbol
_atom_site_fract_x
_atom_site_fract_y
_atom_site_fract_z
Li1 Li 0.0000 0.0000 0.0000
Ge1 Ge 0.0000 0.0000 0.5000
Rh1 Rh 0.5000 0.5000 0.5000
```



(3)
Computed, not measured: LiGe2Rh after structural relaxation at the PBEsol level of DFT.

```
data_LiGe2Rh
_chemical_formula_sum 'Li4 Ge8 Rh4'
_space_group_name_H-M_alt 'F m -3 m'
_space_group_IT_number 225
_space_group_name_Hall '-F 4 2 3'
_cell_length_a 6.0622
_cell_length_b 6.0622
_cell_length_c 6.0622
_cell_angle_alpha 90.00
_cell_angle_beta 90.00
_cell_angle_gamma 90.00
loop_
_atom_site_label
_atom_site_type_symbol
_atom_site_fract_x
_atom_site_fract_y
_atom_site_fract_z
Li1 Li 0.0000 0.0000 0.0000
Ge1 Ge 0.2500 0.2500 0.2500
Rh1 Rh 0.0000 0.0000 0.5000
```



| no. | formation enthalpy at 0 K (eV per atom) | VASP energy (hartree per atom) |
| --- | --- | --- |
| 1 | 0.54 | -0.2102 |
| 2 | 0.65 | -0.1594 |
| 3 | -0.41 | -0.1985 |